1.
Compound: Co2RuPt
Source: Alexandria
Functional: meta-GGA SCAN
Structure: single point on PBEsol structure

* ΔE to the lowest computed polymorph: 57 meV/atom

Unit cell a=3.946 b=2.605 c=9.566 alpha=90.00 beta=90.00 gamma=90.00
Space group Amm2 (No. 38)
Asymmetric unit:
Co  0.000  0.000  0.000 (multiplicity 2)
Co  0.500  0.000  0.129 (multiplicity 2)
Ru  0.000  0.000  0.732 (multiplicity 2)
Pt  0.500  0.000  0.389 (multiplicity 2)



2.
Compound: CoNi2Rh
Source: Alexandria
Functional: meta-GGA SCAN
Structure: single point on PBEsol structure

* ΔE to the lowest computed polymorph: 57 meV/atom

Unit cell a=2.545 b=2.545 c=6.988 alpha=90.00 beta=90.00 gamma=90.00
Space group P4mm (No. 99)
Asymmetric unit:
Co  0.000  0.000  0.000 (multiplicity 1)
Ni  0.000  0.000  0.476 (multiplicity 1)
Ni  0.500  0.500  0.235 (multiplicity 1)
Rh  0.500  0.500  0.739 (multiplicity 1)



3.
Compound: CsMgPC2
Source: Alexandria
Functional: meta-GGA SCAN
Structure: single point on PBEsol structure

Unit cell a=4.018 b=4.018 c=4.896 alpha=90.00 beta=90.00 gamma=90.00
Space group P4/mmm (No. 123)
Asymmetric unit:
Cs  0.000  0.000  0.000 (multiplicity 1)
Mg  0.500  0.500  0.000 (multiplicity 1)
P  0.500  0.500  0.500 (multiplicity 1)
C  0.000  0.500  0.500 (multiplicity 2)



4.
Compound: CrRuRh2
Source: Alexandria
Functional: meta-GGA SCAN
Structure: single point on PBEsol structure

Unit cell a=3.747 b=3.747 c=7.351 alpha=90.00 beta=90.00 gamma=90.00
Space group I-4m2 (No. 119)
Asymmetric unit:
Cr  0.000  0.000  0.000 (multiplicity 2)
Ru  0.000  0.500  0.250 (multiplicity 2)
Rh  0.000  0.000  0.500 (multiplicity 2)
Rh  0.000  0.500  0.750 (multiplicity 2)



5.
Compound: BeSnMoOs2
Source: Alexandria
Functional: meta-GGA SCAN
Structure: single point on PBEsol structure

Unit cell a=4.755 b=4.755 c=4.842 alpha=90.00 beta=90.00 gamma=90.00
Space group P4/mmm (No. 123)
Asymmetric unit:
Be  0.000  0.000  0.000 (multiplicity 1)
Sn  0.500  0.500  0.500 (multiplicity 1)
Mo  0.500  0.500  0.000 (multiplicity 1)
Os  0.000  0.500  0.500 (multiplicity 2)



6.
Compound: NaNi3Os
Source: Alexandria
Functional: meta-GGA SCAN
Structure: single point on PBEsol structure

Unit cell a=4.085 b=4.085 c=4.085 alpha=90.00 beta=90.00 gamma=90.00
Space group Pm-3m (No. 221)
Asymmetric unit:
Na  0.000  0.000  0.000 (multiplicity 1)
Ni  0.000  0.000  0.500 (multiplicity 3)
Os  0.500  0.500  0.500 (multiplicity 1)



| no. | total energy (eV per cell) |
| --- | --- |
| 1 | -278.63 |
| 2 | -83.25 |
| 3 | -64.04 |
| 4 | -241.87 |
| 5 | -204.75 |
| 6 | -114.41 |